Entry 1:
Computed, not measured: a relaxed structure of LaBeSi2Pd at the PBE level of DFT.

Summary:
- formation energy from raw total energies (eV/atom) = -0.7051
- total DFT energy (no corrections) (eV/atom) = -5.644

Lattice parameters (Å, degrees): 4.1239 4.1239 5.8683 110.57 110.57 90.00
Atoms (fractional coordinates):
1 La 0.0000 0.0000 0.0000
2 Be 0.7500 0.2500 0.5000
3 Si 0.6211 0.6211 0.2423
4 Si 0.3789 0.3789 0.7577
5 Pd 0.2500 0.7500 0.5000

=====

Entry 2:
Computed, not measured: a relaxed structure of La2BeSiPd6 at the PBE level of DFT.

Summary:
- formation energy from raw total energies (eV/atom) = -0.7328
- total DFT energy (no corrections) (eV/atom) = -5.749

Lattice parameters (Å, degrees): 5.9826 6.9777 5.9106 66.00 59.70 89.93
Atoms (fractional coordinates):
1 La 0.7324 0.1907 0.5356
2 La 0.2676 0.8093 0.4644
3 Be 0.5000 0.5000 0.0000
4 Si 0.0000 0.0000 0.0000
5 Pd 0.2608 0.2885 0.4789
6 Pd 0.7383 0.6973 0.0492
7 Pd 0.2101 0.6954 0.0513
8 Pd 0.7899 0.3046 0.9487
9 Pd 0.2617 0.3027 0.9508
10 Pd 0.7392 0.7115 0.5211

=====

Entry 3:
Computed, not measured: a relaxed structure of La2Be4Si3Pd at the PBE level of DFT.

Summary:
- formation energy from raw total energies (eV/atom) = -0.4887
- total DFT energy (no corrections) (eV/atom) = -5.111

Lattice parameters (Å, degrees): 4.0350 4.0350 9.8132 90.00 90.00 90.00
Atoms (fractional coordinates):
1 La 0.5000 0.0000 0.2423
2 La 0.0000 0.5000 0.7577
3 Be 0.5000 0.5000 0.0000
4 Be 0.0000 0.0000 0.0000
5 Be 0.5000 0.0000 0.6271
6 Be 0.0000 0.5000 0.3729
7 Si 0.0000 0.0000 0.5000
8 Si 0.5000 0.0000 0.8725
9 Si 0.0000 0.5000 0.1275
10 Pd 0.5000 0.5000 0.5000

=====

Entry 4:
Computed, not measured: a relaxed structure of La2Be3Si4Pd at the PBE level of DFT.

Summary:
- formation energy from raw total energies (eV/atom) = -0.5234
- total DFT energy (no corrections) (eV/atom) = -5.315

Lattice parameters (Å, degrees): 4.0871 4.0871 9.9177 90.00 90.00 90.00
Atoms (fractional coordinates):
1 La 0.5000 0.0000 0.2453
2 La 0.0000 0.5000 0.7547
3 Be 0.0000 0.0000 0.5000
4 Be 0.5000 0.0000 0.8730
5 Be 0.0000 0.5000 0.1270
6 Si 0.5000 0.5000 0.0000
7 Si 0.0000 0.0000 0.0000
8 Si 0.5000 0.0000 0.6354
9 Si 0.0000 0.5000 0.3646
10 Pd 0.5000 0.5000 0.5000

=====

Entry 5:
Computed, not measured: a relaxed structure of LaBeSiPd6 at the PBE level of DFT.

Summary:
- formation energy from raw total energies (eV/atom) = -0.4121
- total DFT energy (no corrections) (eV/atom) = -5.438

Lattice parameters (Å, degrees): 7.4425 8.1362 7.8302 121.30 118.38 90.00
Atoms (fractional coordinates):
1 La 0.8306 0.5806 0.6612
2 La 0.1694 0.4194 0.3388
3 Be 0.5000 0.5000 0.0000
4 Be 0.5000 0.0000 0.0000
5 Si 0.5000 0.0000 0.5000
6 Si 0.0000 0.0000 0.5000
7 Pd 0.4257 0.6757 0.8514
8 Pd 0.8810 0.1310 0.7621
9 Pd 0.8540 0.1072 0.2472
10 Pd 0.3932 0.6400 0.2472
11 Pd 0.3932 0.1072 0.2472
12 Pd 0.8540 0.6400 0.2472
13 Pd 0.5743 0.3243 0.1486
14 Pd 0.1190 0.8690 0.2379
15 Pd 0.1460 0.8928 0.7528
16 Pd 0.6068 0.3600 0.7528
17 Pd 0.6068 0.8928 0.7528
18 Pd 0.1460 0.3600 0.7528

=====

Entry 6:
Computed, not measured: a relaxed structure of La2BeSnPd6 at the PBE level of DFT.

Summary:
- E_form (eV/f.u.) = -6.808
- total DFT energy (no corrections) (eV/atom) = -5.555

Lattice parameters (Å, degrees): 5.9579 7.3930 5.9487 68.61 59.35 91.15
Atoms (fractional coordinates):
1 La 0.7403 0.2125 0.5095
2 La 0.2597 0.7875 0.4905
3 Be 0.5000 0.5000 0.0000
4 Sn 0.0000 0.0000 0.0000
5 Pd 0.2630 0.2935 0.4567
6 Pd 0.7266 0.6598 0.0916
7 Pd 0.2160 0.6844 0.0683
8 Pd 0.7840 0.3156 0.9317
9 Pd 0.2734 0.3402 0.9084
10 Pd 0.7370 0.7065 0.5433

=====

Entry 7:
Computed, not measured: a relaxed structure of LaTbBe2Pd5 at the PBE level of DFT.

Summary:
- E_form (eV/f.u.) = -6.208
- total DFT energy (no corrections) (eV/atom) = -5.465

Lattice parameters (Å, degrees): 4.0980 4.0980 9.1470 90.00 90.00 90.00
Atoms (fractional coordinates):
1 La 0.0000 0.0000 0.5000
2 Tb 0.0000 0.0000 0.0000
3 Be 0.5000 0.5000 0.1305
4 Be 0.5000 0.5000 0.8695
5 Pd 0.0000 0.5000 0.2504
6 Pd 0.5000 0.0000 0.2504
7 Pd 0.0000 0.5000 0.7496
8 Pd 0.5000 0.0000 0.7496
9 Pd 0.5000 0.5000 0.5000

=====

Entry 8:
Computed, not measured: a relaxed structure of LaTiBePd2 at the PBE level of DFT.

Summary:
- E_form (eV/f.u.) = 6.070
- total DFT energy (no corrections) (eV/atom) = -4.173

Lattice parameters (Å, degrees): 5.0425 4.9697 5.0425 90.00 90.00 90.00
Atoms (fractional coordinates):
1 Be 0.0000 0.5000 0.0000
2 Ti 0.5000 0.5000 0.5000
3 Pd 0.0000 0.0000 0.5000
4 Pd 0.5000 0.0000 0.0000
5 La 0.0000 0.0000 0.0000

=====

Entry 9:
Computed, not measured: a relaxed structure of La2TiBePd6 at the PBE level of DFT.

Summary:
- E_form (eV/f.u.) = -5.804
- total DFT energy (no corrections) (eV/atom) = -5.844

Lattice parameters (Å, degrees): 5.9261 7.3131 5.9340 65.83 60.05 89.98
Atoms (fractional coordinates):
1 La 0.7363 0.2095 0.5277
2 La 0.2637 0.7905 0.4723
3 Ti 0.0000 0.0000 0.0000
4 Be 0.5000 0.5000 0.0000
5 Pd 0.2611 0.2992 0.4782
6 Pd 0.7391 0.7043 0.0330
7 Pd 0.2271 0.7037 0.0335
8 Pd 0.7729 0.2963 0.9665
9 Pd 0.2609 0.2957 0.9670
10 Pd 0.7389 0.7008 0.5218

=====

Entry 10:
Computed, not measured: a relaxed structure of LaBeTl2Pd at the PBE level of DFT.

Summary:
- E_form (eV/f.u.) = 1.483
- total DFT energy (no corrections) (eV/atom) = -3.419

Lattice parameters (Å, degrees): 5.2932 5.3686 5.2932 90.00 90.00 90.00
Atoms (fractional coordinates):
1 Be 0.5000 0.5000 0.5000
2 Tl 0.0000 0.0000 0.5000
3 Tl 0.5000 0.0000 0.0000
4 Pd 0.0000 0.0000 0.0000
5 La 0.0000 0.5000 0.0000

=====

Entry 11:
Computed, not measured: a relaxed structure of LaTmBe2Pd5 at the PBE level of DFT.

Summary:
- E_form (eV/f.u.) = -6.259
- total DFT energy (no corrections) (eV/atom) = -5.453

Lattice parameters (Å, degrees): 4.0921 4.0921 9.0571 90.00 90.00 90.00
Atoms (fractional coordinates):
1 La 0.0000 0.0000 0.5000
2 Tm 0.0000 0.0000 0.0000
3 Be 0.5000 0.5000 0.1282
4 Be 0.5000 0.5000 0.8718
5 Pd 0.0000 0.5000 0.2473
6 Pd 0.5000 0.0000 0.2473
7 Pd 0.0000 0.5000 0.7527
8 Pd 0.5000 0.0000 0.7527
9 Pd 0.5000 0.5000 0.5000

=====

Entry 12:
Computed, not measured: a relaxed structure of LaBe2PdW at the PBE level of DFT.

Summary:
- E_form (eV/f.u.) = 5.144
- total DFT energy (no corrections) (eV/atom) = -5.076

Lattice parameters (Å, degrees): 4.3111 4.3111 5.3677 90.00 90.00 90.00
Atoms (fractional coordinates):
1 Be 0.0000 0.5000 0.0000
2 Be 0.5000 0.0000 0.0000
3 Pd 0.0000 0.0000 0.0000
4 W 0.5000 0.5000 0.5000
5 La 0.0000 0.0000 0.5000

=====

Entry 13:
Computed, not measured: a relaxed structure of LaBePd2W at the PBE level of DFT.

Summary:
- E_form (eV/f.u.) = 10.050
- total DFT energy (no corrections) (eV/atom) = -4.388

Lattice parameters (Å, degrees): 5.0289 5.0689 5.0289 90.00 90.00 90.00
Atoms (fractional coordinates):
1 Be 0.5000 0.5000 0.5000
2 Pd 0.0000 0.0000 0.5000
3 Pd 0.5000 0.0000 0.0000
4 W 0.0000 0.5000 0.0000
5 La 0.0000 0.0000 0.0000

=====

Entry 14:
Computed, not measured: a relaxed structure of LaBeZnPd6 at the PBE level of DFT.

Summary:
- E_form (eV/f.u.) = -3.064
- total DFT energy (no corrections) (eV/atom) = -4.905

Lattice parameters (Å, degrees): 5.9765 9.1608 7.9035 125.42 112.22 90.00
Atoms (fractional coordinates):
1 La 0.8158 0.5658 0.6316
2 La 0.1842 0.4342 0.3684
3 Be 0.5000 0.5000 0.0000
4 Be 0.5000 0.0000 0.0000
5 Zn 0.5000 0.0000 0.5000
6 Zn 0.0000 0.0000 0.5000
7 Pd 0.4533 0.7033 0.9067
8 Pd 0.9418 0.1918 0.8837
9 Pd 0.8885 0.1178 0.2568
10 Pd 0.3683 0.6389 0.2568
11 Pd 0.3683 0.1178 0.2568
12 Pd 0.8885 0.6389 0.2568
13 Pd 0.5467 0.2967 0.0933
14 Pd 0.0582 0.8082 0.1163
15 Pd 0.1115 0.8822 0.7432
16 Pd 0.6317 0.3611 0.7432
17 Pd 0.6317 0.8822 0.7432
18 Pd 0.1115 0.3611 0.7432

=====

Entry 15:
Computed, not measured: a relaxed structure of LaBeZnPd2 at the PBE level of DFT.

Summary:
- energy above the most stable polymorph in this dataset (meV per atom) = 0
- E_form (eV/f.u.) = -2.219
- total DFT energy (no corrections) (eV/atom) = -4.506

Lattice parameters (Å, degrees): 4.5827 4.5827 4.3526 90.00 90.00 90.00
Atoms (fractional coordinates):
1 Be 0.0000 0.0000 0.0000
2 Zn 0.0000 0.0000 0.5000
3 Pd 0.0000 0.5000 0.0000
4 Pd 0.5000 0.0000 0.0000
5 La 0.5000 0.5000 0.5000

=====

Entry 16:
Computed, not measured: a relaxed structure of La3Be2ZnPd9 at the PBE level of DFT.

Summary:
- E_form (eV/f.u.) = -9.545
- total DFT energy (no corrections) (eV/atom) = -5.319

Lattice parameters (Å, degrees): 6.8021 6.8021 7.0313 90.00 90.00 120.00
Atoms (fractional coordinates):
1 La 0.3333 0.6667 0.6696
2 La 0.0000 0.0000 0.0000
3 La 0.6667 0.3333 0.3304
4 Be 0.3333 0.6667 0.1414
5 Be 0.6667 0.3333 0.8586
6 Zn 0.0000 0.0000 0.5000
7 Pd 0.8165 0.1835 0.6710
8 Pd 0.8165 0.6331 0.6710
9 Pd 0.3669 0.1835 0.6710
10 Pd 0.6331 0.8165 0.3290
11 Pd 0.1835 0.3669 0.3290
12 Pd 0.1835 0.8165 0.3290
13 Pd 0.5000 0.0000 0.0000
14 Pd 0.0000 0.5000 0.0000
15 Pd 0.5000 0.5000 0.0000

=====

Entry 17:
Computed, not measured: a relaxed structure of La3BeZn2Pd9 at the PBE level of DFT.

Summary:
- E_form (eV/f.u.) = -8.388
- total DFT energy (no corrections) (eV/atom) = -5.079

Lattice parameters (Å, degrees): 6.9951 6.9951 7.0055 90.00 90.00 120.00
Atoms (fractional coordinates):
1 La 0.3333 0.6667 0.6707
2 La 0.0000 0.0000 0.0000
3 La 0.6667 0.3333 0.3293
4 Be 0.0000 0.0000 0.5000
5 Zn 0.3333 0.6667 0.1978
6 Zn 0.6667 0.3333 0.8022
7 Pd 0.8511 0.1489 0.6679
8 Pd 0.8511 0.7022 0.6679
9 Pd 0.2978 0.1489 0.6679
10 Pd 0.7022 0.8511 0.3321
11 Pd 0.1489 0.2978 0.3321
12 Pd 0.1489 0.8511 0.3321
13 Pd 0.5000 0.0000 0.0000
14 Pd 0.0000 0.5000 0.0000
15 Pd 0.5000 0.5000 0.0000

=====

Entry 18:
Computed, not measured: a relaxed structure of LaBeZn2Pd4 at the PBE level of DFT.

Summary:
- E_form (eV/f.u.) = -4.693
- total DFT energy (no corrections) (eV/atom) = -4.583

Lattice parameters (Å, degrees): 4.3081 4.3081 8.7688 75.78 75.78 60.00
Atoms (fractional coordinates):
1 La 0.0000 0.0000 0.0000
2 Be 0.5000 0.5000 0.5000
3 Zn 0.7621 0.7621 0.7138
4 Zn 0.2379 0.2379 0.2862
5 Pd 0.4077 0.4077 0.7768
6 Pd 0.8651 0.8651 0.4048
7 Pd 0.1349 0.1349 0.5952
8 Pd 0.5923 0.5923 0.2232

=====

Entry 19:
Computed, not measured: a relaxed structure of LaBeZnPd2 at the PBE level of DFT.

Summary:
- energy above the most stable polymorph in this dataset (meV per atom) = 1026
- E_form (eV/f.u.) = 2.909
- total DFT energy (no corrections) (eV/atom) = -3.481

Lattice parameters (Å, degrees): 4.6869 5.5122 4.6869 90.00 90.00 90.00
Atoms (fractional coordinates):
1 Be 0.5000 0.5000 0.5000
2 Zn 0.0000 0.0000 0.0000
3 Pd 0.0000 0.0000 0.5000
4 Pd 0.5000 0.0000 0.0000
5 La 0.0000 0.5000 0.0000

=====

Entry 20:
Computed, not measured: a relaxed structure of LaBe2ZnPd5 at the PBE level of DFT.

Summary:
- E_form (eV/f.u.) = -4.733
- total DFT energy (no corrections) (eV/atom) = -4.928

Lattice parameters (Å, degrees): 4.4601 4.4601 7.1177 90.00 90.00 90.00
Atoms (fractional coordinates):
1 La 0.0000 0.0000 0.5000
2 Be 0.5000 0.5000 0.1624
3 Be 0.5000 0.5000 0.8376
4 Zn 0.0000 0.0000 0.0000
5 Pd 0.0000 0.5000 0.2059
6 Pd 0.5000 0.0000 0.2059
7 Pd 0.0000 0.5000 0.7941
8 Pd 0.5000 0.0000 0.7941
9 Pd 0.5000 0.5000 0.5000

=====

Entry 21:
Computed, not measured: a relaxed structure of LaPm2Be at the PBE level of DFT.

Summary:
- energy above the most stable polymorph in this dataset (meV per atom) = 603
- E_form (eV/f.u.) = 2.829
- total DFT energy (no corrections) (eV/atom) = -3.831

Lattice parameters (Å, degrees): 3.5436 3.5436 11.8681 81.41 81.41 60.00
Atoms (fractional coordinates):
1 Be 0.0000 0.0000 0.0000
2 La 0.5000 0.5000 0.5000
3 Pm 0.0832 0.0832 0.7504
4 Pm 0.9168 0.9168 0.2496

=====

Entry 22:
Computed, not measured: a relaxed structure of LaPm2Be at the PBE level of DFT.

Summary:
- energy above the most stable polymorph in this dataset (meV per atom) = 0
- E_form (eV/f.u.) = 0.418
- total DFT energy (no corrections) (eV/atom) = -4.434

Lattice parameters (Å, degrees): 3.5761 3.5761 8.9157 90.00 90.00 90.00
Atoms (fractional coordinates):
1 Be 0.5000 0.5000 0.0000
2 La 0.5000 0.5000 0.5000
3 Pm 0.0000 0.0000 0.8144
4 Pm 0.0000 0.0000 0.1856

=====

Entry 23:
Computed, not measured: a relaxed structure of LaPmBe at the PBE level of DFT.

Summary:
- E_form (eV/f.u.) = 0.568
- total DFT energy (no corrections) (eV/atom) = -4.279

Lattice parameters (Å, degrees): 6.1506 6.1506 6.0712 98.89 98.89 134.01
Atoms (fractional coordinates):
1 Pm 0.6580 0.3420 0.0000
2 Pm 0.3420 0.6580 0.0000
3 La 0.8429 0.8429 0.6859
4 La 0.1571 0.1571 0.3141
5 Be 0.7500 0.2500 0.5000
6 Be 0.2500 0.7500 0.5000

=====

Entry 24:
Computed, not measured: a relaxed structure of LaPr2Be at the PBE level of DFT.

Summary:
- energy above the most stable polymorph in this dataset (meV per atom) = 0
- E_form (eV/f.u.) = 0.491
- total DFT energy (no corrections) (eV/atom) = -4.431

Lattice parameters (Å, degrees): 3.6320 3.6320 8.9472 90.00 90.00 90.00
Atoms (fractional coordinates):
1 Pr 0.0000 0.0000 0.8119
2 Pr 0.0000 0.0000 0.1881
3 Be 0.5000 0.5000 0.0000
4 La 0.5000 0.5000 0.5000